(1)
VASP calculation (PBE-GGA) on a relaxed structure of LaAlP2Rh5.

The structure belongs to space group P4/mmm (No. 123); the cell edges are 4.0936, 4.0936 and 9.5225 Å and the angles 90.00°, 90.00° and 90.00°. The inequivalent atoms are La at (0.0000, 0.0000, 0.0000), Al at (0.0000, 0.0000, 0.5000), P at (0.5000, 0.5000, 0.2392), Rh at (0.0000, 0.5000, 0.3428) and Rh at (0.5000, 0.5000, 0.0000).

For the formation energy, the calculation gives -0.860 eV/atom. The magnetization is 0.000 μB per cell. Its total energy is -7.110 eV/atom.

---

(2)
VASP calculation (PBE-GGA) on a relaxed structure of K5Tl2Se5.

The structure belongs to space group C2/m (No. 12); the cell edges are 15.0223, 4.5463 and 12.7507 Å and the angles 90.00°, 107.56° and 90.00°. The inequivalent atoms are K at (0.0000, 0.0000, 0.0000), K at (0.1604, 0.0000, 0.5580), K at (0.2464, 0.5000, 0.1397), Tl at (0.0376, 0.5000, 0.2948), Se at (0.0000, 0.5000, 0.5000), Se at (0.1076, 0.5000, 0.8894) and Se at (0.1596, 0.0000, 0.2954).

The magnetization is 0.001 μB per cell. Its total energy is -3.150 eV/atom. For the uncorrected formation energy, the calculation gives -0.8463 eV/atom.